i.
Here is TaRhF2 after structural relaxation from Alexandria. Energies are from PBE-GGA.

Lattice parameters (Å, degrees): 4.146 4.146 4.146 60.00 60.00 60.00
Positions (direct):
F: 0.250 0.250 0.250
F: 0.750 0.750 0.750
Rh: 0.000 0.000 0.000
Ta: 0.500 0.500 0.500


ii.
Here is TaRhF2 after structural relaxation from Alexandria. Energies are from PBE-GGA.

Lattice parameters (Å, degrees): 3.743 3.743 8.113 76.66 76.66 90.00
Positions (direct):
F: 0.691 0.125 0.250
F: 0.059 0.625 0.250
F: 0.375 0.309 0.750
F: 0.875 0.941 0.750
Rh: 0.500 0.500 0.000
Rh: 0.250 0.750 0.500
Ta: 0.000 0.000 0.000
Ta: 0.750 0.250 0.500


Most stable structure, least stable structure: ii, i.


i.
Here is TaRh2F2 after structural relaxation from Alexandria. Energies are from PBE-GGA.

Lattice parameters (Å, degrees): 6.758 6.758 3.046 90.00 90.00 90.00
Positions (direct):
F: 0.134 0.634 0.500
F: 0.634 0.866 0.500
F: 0.866 0.366 0.500
F: 0.366 0.134 0.500
Rh: 0.345 0.845 0.000
Rh: 0.845 0.655 0.000
Rh: 0.655 0.155 0.000
Rh: 0.155 0.345 0.000
Ta: 0.000 0.000 0.000
Ta: 0.500 0.500 0.000


ii.
Here is TaRh2F2 after structural relaxation from Alexandria. Energies are from PBE-GGA.

Lattice parameters (Å, degrees): 3.315 3.315 6.482 75.18 75.18 90.00
Each line ends with the local moment (μB).
Positions (direct):
F: 0.750 0.250 0.500  0.05
F: 0.250 0.750 0.500  0.05
Rh: 0.386 0.386 0.227  0.32
Rh: 0.614 0.614 0.773  0.32
Ta: 0.000 0.000 0.000  -0.07


Most stable structure, least stable structure: ii, i.